[1]
A geometry-optimized Ca4Hg3Pd structure. Source: Alexandria, functional PBE.

Cell lengths 3.7142, 3.7142, 14.9692 Å; angles 90.00, 90.00, 90.00 degrees
Positions (direct):
Ca1 0.0000 0.0000 0.1126
Ca2 0.0000 0.0000 0.3708
Ca3 0.0000 0.0000 0.6292
Ca4 0.0000 0.0000 0.8874
Hg1 0.5000 0.5000 0.2410
Hg2 0.5000 0.5000 0.5000
Hg3 0.5000 0.5000 0.7590
Pd1 0.5000 0.5000 0.0000

Volume = 206 Å³ per cell
DFT formation energy = -574 meV per atom
Space-group type = No. 123

[2]
A geometry-optimized CaMnTe2 structure. Source: Alexandria, functional PBE.

Cell lengths 4.2894, 4.2894, 7.1692 Å; angles 90.00, 90.00, 120.00 degrees
Positions (direct):
Ca1 0.0000 0.0000 0.0000
Mn1 0.0000 0.0000 0.5000
Te1 0.3333 0.6667 0.2778
Te2 0.6667 0.3333 0.7222

Volume = 114 Å³ per cell
E above lowest polymorph = 0 meV/atom
Uncorrected formation energy = -0.83 eV/atom
Space-group type = No. 164

[3]
A geometry-optimized Ca2InAgN structure. Source: Alexandria, functional PBE.

Cell lengths 4.8477, 4.8477, 4.6596 Å; angles 90.00, 90.00, 90.00 degrees
Positions (direct):
Ca1 0.0000 0.5000 0.0000
Ca2 0.5000 0.0000 0.0000
In1 0.0000 0.0000 0.5000
Ag1 0.5000 0.5000 0.5000
N1 0.0000 0.0000 0.0000

Volume = 110 Å³ per cell
Uncorrected formation energy = -0.36 eV/atom
Space-group type = No. 123

[4]
A geometry-optimized Hf2ZnCdH structure. Source: Alexandria, functional PBE.

Cell lengths 4.3040, 4.3040, 4.3354 Å; angles 90.00, 90.00, 90.00 degrees
Positions (direct):
Hf1 0.0000 0.5000 0.0000
Hf2 0.5000 0.0000 0.0000
Zn1 0.0000 0.0000 0.5000
Cd1 0.5000 0.5000 0.5000
H1 0.0000 0.0000 0.0000

Volume = 80 Å³ per cell
E above lowest polymorph = 0 meV/atom
Space-group type = No. 123

[5]
A geometry-optimized YZnTcS2 structure. Source: Alexandria, functional PBE.

Cell lengths 4.6471, 4.6471, 4.7699 Å; angles 90.00, 90.00, 90.00 degrees
Positions (direct):
Y1 0.0000 0.0000 0.0000
Zn1 0.5000 0.5000 0.0000
Tc1 0.5000 0.5000 0.5000
S1 0.0000 0.5000 0.5000
S2 0.5000 0.0000 0.5000

Volume = 103 Å³ per cell
Uncorrected formation energy = -0.19 eV/atom
Space-group type = No. 123

[6]
A geometry-optimized ThZrRu structure. Source: Alexandria, functional PBE.

Cell lengths 8.8326, 8.8326, 8.8326 Å; angles 126.62, 76.02, 130.18 degrees
Positions (direct):
Th1 0.0163 0.2500 0.2663
Th2 0.4316 0.3960 0.5356
Th3 0.4539 0.9039 0.0500
Th4 0.8539 0.4039 0.9500
Th5 0.8605 0.8960 0.4644
Th6 0.9837 0.7500 0.7337
Zr1 0.1828 0.3363 0.9048
Zr2 0.1828 0.7779 0.3464
Zr3 0.4315 0.2779 0.0952
Zr4 0.4315 0.8363 0.6536
Zr5 0.6512 0.1512 0.5000
Zr6 0.6512 0.6512 0.0000
Ru1 0.1015 0.4530 0.6723
Ru2 0.1015 0.9292 0.1485
Ru3 0.3657 0.1426 0.7231
Ru4 0.4195 0.6426 0.2769
Ru5 0.7806 0.4292 0.3277
Ru6 0.7806 0.9530 0.8515

Volume = 411 Å³ per cell
DFT formation energy = -350 meV per atom
Space-group type = No. 46